(w)
Material: RbRuRh
Method: DFT, PBE
State: optimized geometry

Cell lengths 13.7242, 4.2312, 4.2312 Å; angles 120.00, 117.74, 62.26 degrees
Closest atoms and distances in Å follow each position.
Positions (direct):
Ru  0.5015  0.1651  0.8349  3 Ru 2.44
Ru  0.4985  0.8349  0.1651  3 Ru 2.44
Rh  0.6103  0.3890  0.6110  1 Rh 2.55, 6 Ru 2.75-2.76
Rh  0.3897  0.6110  0.3890  1 Rh 2.55, 6 Ru 2.75-2.76
Rb  0.8076  0.5236  0.4764  3 Rh 3.34, 1 Ru 3.58
Rb  0.1924  0.4764  0.5236  3 Rh 3.34, 1 Ru 3.58

Values from the calculation:
space-group type = No. 12
calculated volume = 29.91 A^3/atom
total moment = 0.546 Bohr magnetons per cell
crystal system = monoclinic

***

(x)
Material: RbRuRh
Method: DFT, PBE
State: optimized geometry

Cell lengths 4.5903, 4.5903, 7.8016 Å; angles 90.00, 90.00, 90.00 degrees
Closest atoms and distances in Å follow each position.
Positions (direct):
Ru  0.0000  0.0000  0.5000  4 Rh 2.46
Ru  0.5000  0.5000  0.5000  4 Rh 2.46
Rh  0.0000  0.5000  0.6143  4 Ru 2.46
Rh  0.5000  0.0000  0.3857  4 Ru 2.46
Rb  0.0000  0.5000  0.1514  4 Ru 3.56, 5 Rh 3.61-3.73
Rb  0.5000  0.0000  0.8486  4 Ru 3.56, 5 Rh 3.61-3.73

Values from the calculation:
space-group type = No. 129
calculated volume = 27.40 A^3/atom
total moment = 0.000 Bohr magnetons per cell
crystal system = tetragonal

***

Decreasing stability: (w), (x)

***

(w)
Material: LiLaW2
Method: DFT, PBE
State: optimized geometry

Cell lengths 2.8052, 2.8052, 10.6863 Å; angles 90.00, 90.00, 114.74 degrees
Closest atoms and distances in Å follow each position.
Positions (direct):
La  0.5000  0.5000  0.2500  6 La 2.81-3.03
Li  0.5000  0.5000  0.7500  6 Li 2.81-3.03, 4 W 2.87
W  0.0000  0.0000  0.9785  6 W 2.81-3.03, 2 Li 2.87
W  0.0000  0.0000  0.5215  6 W 2.81-3.03, 2 Li 2.87

Values from the calculation:
space-group type = No. 65
calculated volume = 19.09 A^3/atom
total moment = 0.000 Bohr magnetons per cell
crystal system = orthorhombic

***

(x)
Material: LiLaW2
Method: DFT, PBE
State: optimized geometry

Cell lengths 2.7171, 4.7731, 6.0175 Å; angles 90.00, 90.00, 90.00 degrees
Closest atoms and distances in Å follow each position.
Positions (direct):
La  0.5000  0.5000  0.2500  2 La 2.72, 2 Li 3.01
Li  0.5000  0.5000  0.7500  2 Li 2.72, 2 La 3.01, 8 W 3.02
W  0.0000  0.0000  0.9607  3 W 2.54-2.72
W  0.0000  0.0000  0.5393  3 W 2.54-2.72

Values from the calculation:
space-group type = No. 47
calculated volume = 19.51 A^3/atom
total moment = 0.000 Bohr magnetons per cell
crystal system = orthorhombic

***

Decreasing stability: (w), (x)